The following is a PBE calculation of a relaxed Sr2ZrMo crystal, from Alexandria via LeMat-Bulk.

Lattice parameters (Å, degrees): 5.4992 3.1590 6.9008 63.50 90.00 90.00
Fractional coordinates of all 4 atoms:
Mo: 0.5000 0.7500 0.7500
Sr: 0.0000 0.0057 0.9917
Sr: 0.0000 0.4943 0.5083
Zr: 0.5000 0.2500 0.2500

Values from the calculation:
* DFT formation energy: 4.00 eV/f.u.
* total magnetic moment: 0.00 μB/f.u.
* ΔE to the lowest computed polymorph: 0.605 eV per atom
* VASP energy: -4.686 eV per atom